Below is a geometry-optimized YPuCl6 structure, with properties calculated at the GGA-PBE level.

abc: 7.4148 7.4148 7.4148
angles: 54.21 54.21 54.21
Closest atoms and distances in Å follow each position.
Sites, in units of the cell vectors:
1 Y 0.0000 0.0000 0.0000  6 Cl 2.66
2 Pu 0.5000 0.5000 0.5000  6 Cl 2.74
3 Cl 0.0987 0.3942 0.7506  1 Y 2.66, 1 Pu 2.74
4 Cl 0.2494 0.9013 0.6058  1 Y 2.66, 1 Pu 2.74
5 Cl 0.3942 0.7506 0.0987  1 Y 2.66, 1 Pu 2.74
6 Cl 0.6058 0.2494 0.9013  1 Y 2.66, 1 Pu 2.74
7 Cl 0.7506 0.0987 0.3942  1 Y 2.66, 1 Pu 2.74
8 Cl 0.9013 0.6058 0.2494  1 Y 2.66, 1 Pu 2.74

## Properties
SG: R-3
Formation energy from raw total energies, eV per formula unit: -16.440

Below is a geometry-optimized PuZnCl5 structure, with properties calculated at the GGA-PBE level.

abc: 7.1988 7.1988 10.1599
angles: 110.91 110.91 86.05
Closest atoms and distances in Å follow each position.
Sites, in units of the cell vectors:
1 Pu 0.0000 0.5000 0.0000  6 Cl 2.71-2.74
2 Pu 0.5000 0.0000 0.5000  6 Cl 2.71-2.74
3 Zn 0.1387 0.8613 0.7500  4 Cl 2.29-2.31
4 Zn 0.8613 0.1387 0.2500  4 Cl 2.29-2.31
5 Cl 0.1484 0.1837 0.4539  1 Zn 2.29
6 Cl 0.1701 0.5942 0.8300  1 Zn 2.31
7 Cl 0.1837 0.1484 0.9539  1 Zn 2.29
8 Cl 0.3213 0.6787 0.2500  2 Pu 2.71
9 Cl 0.4058 0.8299 0.6700  1 Zn 2.31
10 Cl 0.5942 0.1701 0.3300  1 Zn 2.31
11 Cl 0.6787 0.3213 0.7500  2 Pu 2.71
12 Cl 0.8163 0.8516 0.0461  1 Zn 2.29
13 Cl 0.8299 0.4058 0.1700  1 Zn 2.31
14 Cl 0.8516 0.8163 0.5461  1 Zn 2.29

## Properties
SG: C2/c
Formation energy from raw total energies, eV per formula unit: -10.815

Below is a geometry-optimized PuZnCl structure, with properties calculated at the GGA-PBE level.

abc: 8.1583 8.1583 4.8920
angles: 90.00 90.00 155.29
Closest atoms and distances in Å follow each position.
Sites, in units of the cell vectors:
1 Pu 0.1272 0.8728 0.7500  4 Cl 2.84-3.02, 2 Zn 3.10
2 Pu 0.8728 0.1272 0.2500  4 Cl 2.84-3.02, 2 Zn 3.10
3 Zn 0.4662 0.5337 0.7500  2 Zn 2.67
4 Zn 0.5337 0.4662 0.2500  2 Zn 2.67
5 Cl 0.2180 0.7820 0.2500  4 Pu 2.84-3.02, 4 Cl 3.17
6 Cl 0.7820 0.2180 0.7500  4 Pu 2.84-3.02, 4 Cl 3.17

## Properties
SG: Cmcm
Formation energy from raw total energies, eV per formula unit: -2.115

Below is a geometry-optimized PuZrCl6 structure, with properties calculated at the GGA-PBE level.

abc: 7.2499 7.2499 7.2499
angles: 55.21 55.21 55.21
Closest atoms and distances in Å follow each position.
Sites, in units of the cell vectors:
1 Pu 0.0000 0.0000 0.0000  6 Cl 2.79
2 Zr 0.5000 0.5000 0.5000  6 Cl 2.53
3 Cl 0.1191 0.7337 0.4101  1 Zr 2.53, 1 Pu 2.79
4 Cl 0.2663 0.5899 0.8809  1 Zr 2.53, 1 Pu 2.79
5 Cl 0.4101 0.1191 0.7337  1 Zr 2.53, 1 Pu 2.79
6 Cl 0.5899 0.8809 0.2663  1 Zr 2.53, 1 Pu 2.79
7 Cl 0.7337 0.4101 0.1191  1 Zr 2.53, 1 Pu 2.79
8 Cl 0.8809 0.2663 0.5899  1 Zr 2.53, 1 Pu 2.79

## Properties
SG: R-3
Formation energy from raw total energies, eV per formula unit: -14.356

Below is a geometry-optimized PuZrCl6 structure, with properties calculated at the GGA-PBE level.

abc: 7.0460 7.0460 6.5661
angles: 97.88 97.88 124.01
Closest atoms and distances in Å follow each position.
Sites, in units of the cell vectors:
1 Pu 0.0000 0.0000 0.0000  6 Cl 2.78-2.79
2 Zr 0.5000 0.5000 0.5000  6 Cl 2.51-2.54
3 Cl 0.1305 0.4181 0.2666  1 Zr 2.54, 1 Pu 2.78
4 Cl 0.2583 0.2583 0.7324  1 Zr 2.51, 1 Pu 2.79
5 Cl 0.4181 0.1305 0.2666  1 Zr 2.54, 1 Pu 2.78
6 Cl 0.5819 0.8695 0.7334  1 Zr 2.54, 1 Pu 2.78
7 Cl 0.7417 0.7417 0.2676  1 Zr 2.51, 1 Pu 2.79
8 Cl 0.8695 0.5819 0.7334  1 Zr 2.54, 1 Pu 2.78

## Properties
SG: C2/m
Formation energy from raw total energies, eV per formula unit: -14.440

Below is a geometry-optimized Rb3Cl structure, with properties calculated at the GGA-PBE level.

abc: 8.4864 8.4864 8.4864
angles: 149.83 67.64 121.05
Closest atoms and distances in Å follow each position.
Sites, in units of the cell vectors:
1 Rb 0.0000 0.0000 0.0000  2 Cl 3.37
2 Rb 0.2999 0.4581 0.8417  2 Cl 3.39
3 Rb 0.6164 0.4581 0.1583  2 Cl 3.39
4 Cl 0.3053 0.8053 0.5000  6 Rb 3.37-3.39

## Properties
SG: Imm2
Formation energy from raw total energies, eV per formula unit: -3.543

Below is a geometry-optimized Rb6Cl5 structure, with properties calculated at the GGA-PBE level.

abc: 8.2689 8.2689 8.2701
angles: 99.62 99.62 119.98
Closest atoms and distances in Å follow each position.
Sites, in units of the cell vectors:
1 Rb 0.0762 0.4158 0.7474  5 Cl 3.33-3.39
2 Rb 0.2448 0.2448 0.2538  5 Cl 3.32-3.37
3 Rb 0.4158 0.0762 0.7474  5 Cl 3.33-3.39
4 Rb 0.5842 0.9238 0.2526  5 Cl 3.33-3.39
5 Rb 0.7552 0.7552 0.7462  5 Cl 3.32-3.37
6 Rb 0.9238 0.5842 0.2526  5 Cl 3.33-3.39
7 Cl 0.0000 0.0000 0.5000  6 Rb 3.32-3.38
8 Cl 0.1668 0.8332 0.0000  6 Rb 3.36-3.37
9 Cl 0.3344 0.6656 0.5000  6 Rb 3.33-3.39
10 Cl 0.6656 0.3344 0.5000  6 Rb 3.33-3.39
11 Cl 0.8332 0.1668 0.0000  6 Rb 3.36-3.37

## Properties
SG: C2/m
Formation energy from raw total energies, eV per formula unit: -19.012

Below is a geometry-optimized RbCl6 structure, with properties calculated at the GGA-PBE level.

abc: 7.0732 7.0732 10.6940
angles: 90.00 90.00 90.00
Closest atoms and distances in Å follow each position.
Sites, in units of the cell vectors:
1 Rb 0.2500 0.7500 0.0000  8 Cl 3.77
2 Rb 0.7500 0.2500 0.0000  8 Cl 3.77
3 Cl 0.0316 0.5316 0.4118  1 Cl 1.99
4 Cl 0.0316 0.9684 0.5882  1 Cl 1.99
5 Cl 0.2500 0.2500 0.1224  1 Cl 2.62
6 Cl 0.2500 0.2500 0.8776  1 Cl 2.62
7 Cl 0.4684 0.5316 0.5882  1 Cl 1.99
8 Cl 0.4684 0.9684 0.4118  1 Cl 1.99
9 Cl 0.5316 0.0316 0.5882  1 Cl 1.99
10 Cl 0.5316 0.4684 0.4118  1 Cl 1.99
11 Cl 0.7500 0.7500 0.1224  1 Cl 2.62
12 Cl 0.7500 0.7500 0.8776  1 Cl 2.62
13 Cl 0.9684 0.0316 0.4118  1 Cl 1.99
14 Cl 0.9684 0.4684 0.5882  1 Cl 1.99

## Properties
SG: P4/nbm
Formation energy from raw total energies, eV per formula unit: -2.790

Below is a geometry-optimized RbCl6 structure, with properties calculated at the GGA-PBE level.

abc: 6.8592 6.8592 6.8592
angles: 109.47 109.47 109.47
Closest atoms and distances in Å follow each position.
Sites, in units of the cell vectors:
1 Rb 0.0000 0.0000 0.0000  24 Cl 4.43
2 Cl 0.2500 0.5000 0.7500  4 Cl 2.80
3 Cl 0.2500 0.7500 0.5000  4 Cl 2.80
4 Cl 0.5000 0.2500 0.7500  4 Cl 2.80
5 Cl 0.5000 0.7500 0.2500  4 Cl 2.80
6 Cl 0.7500 0.2500 0.5000  4 Cl 2.80
7 Cl 0.7500 0.5000 0.2500  4 Cl 2.80

## Properties
SG: Im-3m
Formation energy from raw total energies, eV per formula unit: 0.358

Below is a geometry-optimized RbCl2 structure, with properties calculated at the GGA-PBE level.

abc: 6.3807 6.3807 6.3807
angles: 60.00 60.00 60.00
Closest atoms and distances in Å follow each position.
Sites, in units of the cell vectors:
1 Rb 0.1250 0.1250 0.1250  12 Cl 3.74, 4 Rb 3.91
2 Rb 0.8750 0.8750 0.8750  12 Cl 3.74, 4 Rb 3.91
3 Cl 0.0000 0.5000 0.5000  6 Cl 3.19
4 Cl 0.5000 0.0000 0.5000  6 Cl 3.19
5 Cl 0.5000 0.5000 0.0000  6 Cl 3.19
6 Cl 0.5000 0.5000 0.5000  6 Cl 3.19

## Properties
SG: Fd-3m
Formation energy from raw total energies, eV per formula unit: -2.704

Below is a geometry-optimized RbCl3 structure, with properties calculated at the GGA-PBE level.

abc: 5.5082 5.5082 5.5082
angles: 60.00 60.00 60.00
Closest atoms and distances in Å follow each position.
Sites, in units of the cell vectors:
1 Rb 0.0000 0.0000 0.0000  8 Cl 3.37
2 Cl 0.2500 0.2500 0.2500  4 Cl 3.37, 4 Rb 3.37
3 Cl 0.5000 0.5000 0.5000  8 Cl 3.37
4 Cl 0.7500 0.7500 0.7500  4 Cl 3.37, 4 Rb 3.37

## Properties
SG: Fm-3m
Formation energy from raw total energies, eV per formula unit: -2.143

Below is a geometry-optimized Rb3Cl structure, with properties calculated at the GGA-PBE level.

abc: 4.4145 4.6351 12.5167
angles: 90.00 90.00 90.00
Closest atoms and distances in Å follow each position.
Sites, in units of the cell vectors:
1 Rb 0.0000 0.0000 0.0000  2 Cl 3.43
2 Rb 0.0000 0.5000 0.3054  4 Cl 3.42
3 Rb 0.5000 0.5000 0.6754  4 Rb 4.41-4.64
4 Cl 0.5000 0.0000 0.2100  6 Rb 3.42-3.43

## Properties
SG: Pmm2
Formation energy from raw total energies, eV per formula unit: -3.524